[1]
The following is a GGA-PBE calculation of an optimized crystal structure of Tb2Ge4Pd3Pt, from the Alexandria database.

Results
SG   P-4m2 (115)
Formation energy from the elements   -77.23 kJ per mole of atoms

abc: 4.2770 4.2770 10.2681
angles: 90.00 90.00 90.00
Positions (direct):
Tb (0.0000, 0.5000, 0.2479)
Tb (0.5000, 0.0000, 0.7521)
Ge (0.0000, 0.0000, 0.5000)
Ge (0.0000, 0.5000, 0.8679)
Ge (0.5000, 0.0000, 0.1321)
Ge (0.5000, 0.5000, 0.5000)
Pd (0.0000, 0.0000, 0.0000)
Pd (0.0000, 0.5000, 0.6323)
Pd (0.5000, 0.0000, 0.3677)
Pt (0.5000, 0.5000, 0.0000)

[2]
The following is a GGA-PBE calculation of an optimized crystal structure of Ac2YIr3O12, from the Alexandria database.

Results
SG   R-3m (166)
Formation energy (no corrections)   -1.777 eV per atom

abc: 6.7787 6.7787 6.7787
angles: 64.47 64.47 64.47
Positions (direct):
Ac (0.1167, 0.1167, 0.1167)
Ac (0.8833, 0.8833, 0.8833)
Y (0.5000, 0.5000, 0.5000)
Ir (0.0000, 0.5000, 0.5000)
Ir (0.5000, 0.0000, 0.5000)
Ir (0.5000, 0.5000, 0.0000)
O (0.0854, 0.6392, 0.6392)
O (0.2086, 0.2086, 0.6349)
O (0.2086, 0.6349, 0.2086)
O (0.3608, 0.3608, 0.9146)
O (0.3608, 0.9146, 0.3608)
O (0.3651, 0.7914, 0.7914)
O (0.6349, 0.2086, 0.2086)
O (0.6392, 0.0854, 0.6392)
O (0.6392, 0.6392, 0.0854)
O (0.7914, 0.3651, 0.7914)
O (0.7914, 0.7914, 0.3651)
O (0.9146, 0.3608, 0.3608)

[3]
The following is a GGA-PBE calculation of an optimized crystal structure of Ac6Ag3N, from the Alexandria database.

Results
SG   P2_1/c (14)
Formation energy (no corrections)   -0.318 eV per atom

abc: 7.1541 8.3085 13.2300
angles: 90.00 122.31 90.00
Positions (direct):
Ac (0.0796, 0.0435, 0.2290)
Ac (0.0796, 0.4565, 0.7290)
Ac (0.2059, 0.7176, 0.0646)
Ac (0.2059, 0.7824, 0.5646)
Ac (0.3760, 0.1574, 0.0600)
Ac (0.3760, 0.3426, 0.5600)
Ac (0.6240, 0.6574, 0.4400)
Ac (0.6240, 0.8426, 0.9400)
Ac (0.7941, 0.2176, 0.4354)
Ac (0.7941, 0.2824, 0.9354)
Ac (0.9204, 0.5435, 0.2710)
Ac (0.9204, 0.9565, 0.7710)
Ag (0.3077, 0.1075, 0.7354)
Ag (0.3077, 0.3925, 0.2354)
Ag (0.5000, 0.0000, 0.5000)
Ag (0.5000, 0.5000, 0.0000)
Ag (0.6923, 0.6075, 0.7646)
Ag (0.6923, 0.8925, 0.2646)
N (0.0000, 0.0000, 0.0000)
N (0.0000, 0.5000, 0.5000)

[4]
The following is a GGA-PBE calculation of an optimized crystal structure of LiHfPt6, from the Alexandria database.

Results
SG   P4/mmm (123)
Formation energy from the elements   -74.19 kJ per mole of atoms

abc: 3.9831 3.9831 7.8213
angles: 90.00 90.00 90.00
Positions (direct):
Li (0.0000, 0.0000, 0.0000)
Hf (0.0000, 0.0000, 0.5000)
Pt (0.0000, 0.5000, 0.2431)
Pt (0.0000, 0.5000, 0.7569)
Pt (0.5000, 0.0000, 0.2431)
Pt (0.5000, 0.0000, 0.7569)
Pt (0.5000, 0.5000, 0.0000)
Pt (0.5000, 0.5000, 0.5000)

[5]
The following is a GGA-PBE calculation of an optimized crystal structure of SrAl2Zn, from the Alexandria database.

Results
SG   P4mm (99)
Formation energy from the elements   -6.48 kJ per mole of atoms

abc: 3.4604 3.4604 7.4142
angles: 90.00 90.00 90.00
Positions (direct):
Sr (0.0000, 0.0000, 0.0000)
Al (0.0000, 0.0000, 0.4836)
Al (0.5000, 0.5000, 0.6820)
Zn (0.5000, 0.5000, 0.3027)

[6]
The following is a GGA-PBE calculation of an optimized crystal structure of TlCuRe2, from the Alexandria database.

Results
SG   P2/m (10)
Formation energy from the elements   73.85 kJ per mole of atoms
ΔE to the lowest computed polymorph   310 meV/atom

abc: 3.0806 4.8186 4.6627
angles: 90.00 93.67 90.00
Positions (direct):
Tl (0.0000, 0.0000, 0.0000)
Cu (0.5000, 0.0000, 0.5000)
Re (0.2056, 0.5000, 0.2907)
Re (0.7944, 0.5000, 0.7093)

[7]
The following is a GGA-PBE calculation of an optimized crystal structure of Re2HgOs, from the Alexandria database.

Results
SG   Pmmm (47)
Formation energy from the elements   57.93 kJ per mole of atoms

abc: 2.8186 4.0085 5.7570
angles: 90.00 90.00 90.00
Positions (direct):
Re (0.0000, 0.0000, 0.2133)
Re (0.0000, 0.0000, 0.7867)
Hg (0.5000, 0.5000, 0.5000)
Os (0.5000, 0.5000, 0.0000)

[8]
The following is a GGA-PBE calculation of an optimized crystal structure of NbVC, from the Alexandria database.

Results
SG   C2/m (12)
Formation energy from the elements   -28.34 kJ per mole of atoms
ΔE to the lowest computed polymorph   111 meV/atom

abc: 7.0811 7.0811 6.9582
angles: 91.22 91.22 25.34
Positions (direct):
Nb (0.0714, 0.0714, 0.3180)
Nb (0.4142, 0.4142, 0.0895)
Nb (0.5858, 0.5858, 0.9105)
Nb (0.9286, 0.9286, 0.6820)
V (0.2531, 0.2531, 0.8254)
V (0.3241, 0.3241, 0.4424)
V (0.6759, 0.6759, 0.5576)
V (0.7469, 0.7469, 0.1746)
C (0.0965, 0.0965, 0.6682)
C (0.1661, 0.1661, 0.0684)
C (0.8339, 0.8339, 0.9316)
C (0.9035, 0.9035, 0.3318)

[9]
The following is a GGA-PBE calculation of an optimized crystal structure of Ce2SnP2N6, from the Alexandria database.

Results
SG   P-1 (2)
Formation energy (no corrections)   -0.566 eV per atom

abc: 6.2383 6.2561 6.5321
angles: 61.50 61.50 66.37
Positions (direct):
Ce (0.1944, 0.1944, 0.1756)
Ce (0.8056, 0.8056, 0.8244)
Sn (0.5000, 0.5000, 0.5000)
P (0.1764, 0.1777, 0.7242)
P (0.8236, 0.8223, 0.2758)
N (0.0262, 0.4067, 0.8221)
N (0.0733, 0.0751, 0.6184)
N (0.4064, 0.0276, 0.8217)
N (0.5936, 0.9724, 0.1783)
N (0.9267, 0.9249, 0.3816)
N (0.9738, 0.5933, 0.1779)

[10]
The following is a GGA-PBE calculation of an optimized crystal structure of CsTl2IO8, from the Alexandria database.

Results
SG   P-1 (2)
Formation energy (no corrections)   -0.553 eV per atom

abc: 5.5470 5.5786 8.0464
angles: 71.17 79.55 72.18
Positions (direct):
Cs (0.0000, 0.0000, 0.0000)
Tl (0.4255, 0.3424, 0.3499)
Tl (0.5745, 0.6576, 0.6501)
I (0.0000, 0.0000, 0.5000)
O (0.1153, 0.2143, 0.2813)
O (0.2353, 0.0695, 0.6160)
O (0.2734, 0.6956, 0.4676)
O (0.4675, 0.4490, 0.9408)
O (0.5325, 0.5510, 0.0592)
O (0.7266, 0.3044, 0.5324)
O (0.7647, 0.9305, 0.3840)
O (0.8847, 0.7857, 0.7187)

[11]
The following is a GGA-PBE calculation of an optimized crystal structure of SrSc2TaTl, from the Alexandria database.

Results
SG   P4/mmm (123)
Formation energy from the elements   170.10 kJ per mole of atoms

abc: 5.2070 5.2070 5.1146
angles: 90.00 90.00 90.00
Positions (direct):
Sr (0.0000, 0.0000, 0.0000)
Sc (0.0000, 0.5000, 0.0000)
Sc (0.5000, 0.0000, 0.0000)
Ta (0.0000, 0.0000, 0.5000)
Tl (0.5000, 0.5000, 0.5000)

[12]
The following is a GGA-PBE calculation of an optimized crystal structure of SrTl2Mo, from the Alexandria database.

Results
SG   F-43m (216)
Formation energy from the elements   66.25 kJ per mole of atoms
ΔE to the lowest computed polymorph   295 meV/atom

abc: 5.4552 5.4552 5.4552
angles: 60.00 60.00 60.00
Positions (direct):
Sr (0.0000, 0.0000, 0.0000)
Tl (0.2500, 0.2500, 0.2500)
Tl (0.5000, 0.5000, 0.5000)
Mo (0.7500, 0.7500, 0.7500)

[13]
The following is a GGA-PBE calculation of an optimized crystal structure of Pr3PtAu3, from the Alexandria database.

Results
SG   Imm2 (44)
Formation energy from the elements   -80.97 kJ per mole of atoms

abc: 10.5010 10.5010 10.5010
angles: 158.42 154.84 33.38
Positions (direct):
Pr (0.0000, 0.0000, 0.0000)
Pr (0.3648, 0.3648, 0.0000)
Pr (0.6941, 0.1941, 0.5000)
Pt (0.2528, 0.7528, 0.5000)
Au (0.1189, 0.6189, 0.5000)
Au (0.5285, 0.5285, 0.0000)
Au (0.8391, 0.8391, 0.0000)